No. 1
# EuYPd2

An optimized crystal structure of EuYPd2 (PBE-GGA, Alexandria).

```
data_EuYPd2
_chemical_formula_sum 'Eu1 Y1 Pd2'
_symmetry_space_group_name_H-M 'P 1'
_symmetry_Int_Tables_number 1
_symmetry_space_group_name_Hall 'P 1'
_cell_length_a 3.555
_cell_length_b 3.555
_cell_length_c 7.241
_cell_angle_alpha 90.00
_cell_angle_beta 90.00
_cell_angle_gamma 90.00
loop_
_atom_site_label
_atom_site_type_symbol
_atom_site_fract_x
_atom_site_fract_y
_atom_site_fract_z
_atom_site_occupancy
Eu1 Eu 0.500 0.500 0.500 1
Y1 Y 0.500 0.500 0.000 1
Pd1 Pd 0.000 0.000 0.777 1
Pd2 Pd 0.000 0.000 0.223 1
```

Uncorrected energy: -7.57 eV/atom
Symmetry: P4/mmm, No. 123
Total moment: 7.130 μB per formula unit

No. 2
# EuYZnPd

An optimized crystal structure of EuYZnPd (PBE-GGA, Alexandria).

```
data_EuYZnPd
_chemical_formula_sum 'Eu1 Y1 Zn1 Pd1'
_symmetry_space_group_name_H-M 'P 1'
_symmetry_Int_Tables_number 1
_symmetry_space_group_name_Hall 'P 1'
_cell_length_a 5.099
_cell_length_b 5.099
_cell_length_c 5.099
_cell_angle_alpha 60.00
_cell_angle_beta 60.00
_cell_angle_gamma 60.00
loop_
_atom_site_label
_atom_site_type_symbol
_atom_site_fract_x
_atom_site_fract_y
_atom_site_fract_z
_atom_site_occupancy
Eu1 Eu 0.250 0.250 0.250 1
Y1 Y 0.750 0.750 0.750 1
Zn1 Zn 0.000 0.000 0.000 1
Pd1 Pd 0.500 0.500 0.500 1
```

Uncorrected energy: -6.29 eV/atom
Symmetry: F-43m, No. 216
Total moment: 7.017 μB per formula unit

No. 3
# EuZnPd

An optimized crystal structure of EuZnPd (PBE-GGA, Alexandria).

```
data_EuZnPd
_chemical_formula_sum 'Eu1 Zn1 Pd1'
_symmetry_space_group_name_H-M 'P 1'
_symmetry_Int_Tables_number 1
_symmetry_space_group_name_Hall 'P 1'
_cell_length_a 3.506
_cell_length_b 3.506
_cell_length_c 5.738
_cell_angle_alpha 107.79
_cell_angle_beta 107.79
_cell_angle_gamma 90.00
loop_
_atom_site_label
_atom_site_type_symbol
_atom_site_fract_x
_atom_site_fract_y
_atom_site_fract_z
_atom_site_occupancy
Eu1 Eu 0.952 0.952 0.905 1
Zn1 Zn 0.248 0.248 0.496 1
Pd1 Pd 0.649 0.649 0.299 1
```

Uncorrected energy: -6.05 eV/atom
Symmetry: I4mm, No. 107
Total moment: 7.037 μB per formula unit

No. 4
# Eu2ZnPd

An optimized crystal structure of Eu2ZnPd (PBE-GGA, Alexandria).

```
data_Eu2ZnPd
_chemical_formula_sum 'Eu2 Zn1 Pd1'
_symmetry_space_group_name_H-M 'P 1'
_symmetry_Int_Tables_number 1
_symmetry_space_group_name_Hall 'P 1'
_cell_length_a 4.118
_cell_length_b 4.118
_cell_length_c 10.249
_cell_angle_alpha 78.41
_cell_angle_beta 78.41
_cell_angle_gamma 60.00
loop_
_atom_site_label
_atom_site_type_symbol
_atom_site_fract_x
_atom_site_fract_y
_atom_site_fract_z
_atom_site_occupancy
Eu1 Eu 0.109 0.109 0.672 1
Eu2 Eu 0.891 0.891 0.328 1
Zn1 Zn 0.000 0.000 0.000 1
Pd1 Pd 0.500 0.500 0.500 1
```

Uncorrected energy: -6.83 eV/atom
Symmetry: R-3m, No. 166
Total moment: 14.687 μB per formula unit